{"formula": "CaPrAlCd", "functional": "PBE-GGA", "state": "optimized geometry", "lattice_angstrom": [[0.000, 3.803, 3.803], [3.803, 0.000, 3.803], [3.803, 3.803, 0.000]], "species": ["Ca", "Pr", "Al", "Cd"], "frac_coords": [[0.000, 0.000, 0.000], [0.500, 0.500, 0.500], [0.250, 0.250, 0.250], [0.750, 0.750, 0.750]], "e_above_lowest_polymorph_mev_per_atom": 0, "formation_energy_kj_per_mol_fu": -126.2}


{"formula": "Sc8Co2Sb", "functional": "PBE-GGA", "state": "optimized geometry", "lattice_angstrom": [[4.038, -6.159, 0.000], [4.038, 6.159, 0.000], [-1.156, 0.000, 4.736]], "species": ["Sc", "Sc", "Sc", "Sc", "Sc", "Sc", "Sc", "Sc", "Co", "Co", "Sb"], "frac_coords": [[0.106, 0.106, 0.798], [0.166, 0.428, 0.424], [0.249, 0.751, 0.000], [0.428, 0.166, 0.424], [0.572, 0.834, 0.576], [0.751, 0.249, 0.000], [0.834, 0.572, 0.576], [0.894, 0.894, 0.202], [0.191, 0.809, 0.500], [0.809, 0.191, 0.500], [0.500, 0.500, 0.000]]}


{"formula": "CoAsRu3", "functional": "PBE-GGA", "state": "optimized geometry", "lattice_angstrom": [[4.486, 0.000, 0.000], [0.000, 4.486, 0.000], [0.000, 0.000, 4.486]], "species": ["Co", "As", "Ru", "Ru", "Ru"], "frac_coords": [[0.000, 0.000, 0.000], [0.500, 0.500, 0.500], [0.000, 0.500, 0.500], [0.500, 0.000, 0.500], [0.500, 0.500, 0.000]], "e_above_lowest_polymorph_mev_per_atom": 0, "formation_energy_kj_per_mol_fu": 600.4}


M_tot / μB per formula unit: 0.000, 1.090, 5.227
Final energy / eV per atom: -3.187, -6.555, -6.672